Crystalline Mn2BeS at its relaxed geometry, computed with PBE.

abc: 3.4236 3.4236 15.7684
angles: 90.00 90.00 90.00
Last column: nearest neighbours and their distance in Å.
Space group I-42d (No. 122)
One atom of each set of equivalent atoms:
Mn: 0.2463 0.2500 0.1250 (multiplicity 8)  2 Be 2.31, 2 S 2.32, 4 Mn 2.40-2.44
Be: 0.0000 0.0000 0.0000 (multiplicity 4)  4 Mn 2.31, 4 S 2.42
S: 0.0000 0.0000 0.5000 (multiplicity 4)  4 Mn 2.32, 4 Be 2.42

Offset from the most stable computed form: 0.2036 eV per atom
Formation energy from raw total energies: 261 meV/atom
Theoretical density: 5.42 Mg/m³
Total moment: 0.752 μB per atom